CdFe2CoP, relaxed, DFT PBE-GGA; E_tot = -4.174 eV/atom; total magnetization = 8.2 μB per formula unit; calculated formation energy = 1.8971 eV per atom
1.0
-1.833 -2.527 3.663
-3.062 -2.002 -2.914
3.142 -3.540 -0.870
Cd Fe Co P
1 2 1 1
Direct
0.000 0.000 0.000
0.500 0.000 0.000
0.000 0.000 0.500
0.500 0.500 0.500
0.000 0.500 0.000

***

CdFe2CoPd, relaxed, DFT PBE-GGA; E_tot = -4.183 eV/atom; total magnetization = 1.6 μB per formula unit; calculated formation energy = 1.8446 eV per atom
1.0
-1.878 -3.645 1.904
2.175 -2.886 -3.380
3.600 -0.446 2.697
Co Fe Cd Pd
1 2 1 1
Direct
0.500 0.500 0.500
0.000 0.000 0.500
0.500 0.000 0.000
0.000 0.500 0.000
0.000 0.000 0.000

***

Rb2CdFeCo, relaxed, DFT PBE-GGA; E_tot = -2.831 eV/atom; total magnetization = 4.3 μB per formula unit; calculated formation energy = 0.8523 eV per atom
1.0
6.600 0.000 0.000
0.000 4.401 0.000
0.000 0.000 6.600
Rb Cd Fe Co
2 1 1 1
Direct
0.500 0.000 0.000
0.000 0.000 0.500
0.500 0.500 0.500
0.000 0.500 0.000
0.000 0.000 0.000

***

Cd2FeCoTe, relaxed, DFT PBE-GGA; formation energy without anion corrections = 1330 meV/atom; E_tot = -2.778 eV/atom; total magnetization = 4.7 μB per formula unit
1.0
-0.443 -1.248 5.461
3.845 -2.718 -0.309
3.227 4.421 1.273
Cd Co Fe Te
2 1 1 1
Direct
0.000 0.000 0.500
0.500 0.000 0.000
0.500 0.500 0.500
0.000 0.500 0.000
0.000 0.000 0.000

***

CdGaCo3, relaxed, DFT PBE-GGA; offset from the most stable computed form = 767.2 meV per atom; E_tot = -3.448 eV/atom; total magnetization = 5.2 μB per formula unit; calculated formation energy = 1.6035 eV per atom
1.0
4.710 0.000 0.000
0.000 4.710 0.000
0.000 0.000 4.710
Ga Cd Co
1 1 3
Direct
0.500 0.500 0.500
0.000 0.000 0.000
0.000 0.000 0.500
0.000 0.500 0.000
0.500 0.000 0.000

***

CdGaCo2, relaxed, DFT PBE-GGA; E_tot = -4.505 eV/atom; total magnetization = 0.0 μB per formula unit; calculated formation energy = 0.0332 eV per atom
1.0
-1.422 0.065 -2.576
-1.727 -2.208 0.898
-4.047 4.117 2.338
Cd Co Ga
1 2 1
Direct
0.500 0.500 0.500
0.000 0.000 0.215
0.000 0.000 0.785
0.500 0.500 0.000

***

The highest total magnetization belongs to which entry?
CdFe2CoP